Below is VCuHPbO5 after structural relaxation, with properties calculated at the PBE with a Hubbard U level.

a = 7.852 Å, b = 6.163 Å, c = 9.276 Å
α = 90.00°, β = 90.00°, γ = 90.00°
Space group Pnma (No. 62)
Unique sites:
V  0.110  0.250  0.197
Cu  0.000  0.000  0.500
H  0.248  0.250  0.505
Pb  0.142  0.250  0.830
O  0.061  0.750  0.919
O  0.108  0.005  0.302
O  0.138  0.250  0.560
O  0.215  0.750  0.586

Output
total magnetization = 4.0 Bohr magnetons per cell
D(E_F) = 0.4 states/eV/f.u.
final energy = -6.1552 eV/atom